1.
# CrSe3, optimized geometry, DFT PBE-GGA
# - crystal system = cubic
# - formation energy from raw total energies (meV/atom) = 226
data_CrSe3
_cell_length_a 4.812
_cell_length_b 4.812
_cell_length_c 4.812
_cell_angle_alpha 90.00
_cell_angle_beta 90.00
_cell_angle_gamma 90.00
_symmetry_space_group_name_H-M 'P 1'
_symmetry_Int_Tables_number 1
_symmetry_space_group_name_Hall 'P 1'
loop_
_atom_site_label
_atom_site_fract_x
_atom_site_fract_y
_atom_site_fract_z
Cr1 0.000 0.000 0.000
Se1 0.000 0.000 0.500
Se2 0.000 0.500 0.000
Se3 0.500 0.000 0.000

=====

2.
# YBe2SnN, optimized geometry, DFT PBE-GGA
# - crystal system = tetragonal
# - formation energy from raw total energies (meV/atom) = 415
data_YBe2SnN
_cell_length_a 4.006
_cell_length_b 4.006
_cell_length_c 5.181
_cell_angle_alpha 90.00
_cell_angle_beta 90.00
_cell_angle_gamma 90.00
_symmetry_space_group_name_H-M 'P 1'
_symmetry_Int_Tables_number 1
_symmetry_space_group_name_Hall 'P 1'
loop_
_atom_site_label
_atom_site_fract_x
_atom_site_fract_y
_atom_site_fract_z
Y1 0.000 0.000 0.000
Be1 0.000 0.500 0.500
Be2 0.500 0.000 0.500
Sn1 0.500 0.500 0.000
N1 0.500 0.500 0.500

=====

3.
# Tl3H2Br4, optimized geometry, DFT PBE-GGA
# - final energy (eV for the cell shown) = -48.2
# - crystal system = triclinic
data_Tl3H2Br4
_cell_length_a 8.582
_cell_length_b 9.017
_cell_length_c 9.146
_cell_angle_alpha 62.25
_cell_angle_beta 67.71
_cell_angle_gamma 77.52
_symmetry_space_group_name_H-M 'P 1'
_symmetry_Int_Tables_number 1
_symmetry_space_group_name_Hall 'P 1'
loop_
_atom_site_label
_atom_site_fract_x
_atom_site_fract_y
_atom_site_fract_z
Tl1 0.146 0.363 0.484
Tl2 0.262 0.844 0.180
Tl3 0.298 0.558 0.679
Tl4 0.702 0.442 0.321
Tl5 0.738 0.156 0.820
Tl6 0.854 0.637 0.516
H1 0.058 0.788 0.888
H2 0.490 0.073 0.244
H3 0.510 0.927 0.756
H4 0.942 0.212 0.112
Br1 0.058 0.625 0.116
Br2 0.069 0.909 0.695
Br3 0.431 0.171 0.681
Br4 0.431 0.257 0.161
Br5 0.569 0.743 0.839
Br6 0.569 0.829 0.319
Br7 0.931 0.091 0.305
Br8 0.942 0.375 0.884

=====

4.
# ZrAlOs2, optimized geometry, DFT PBE-GGA
# - E_form (eV per atom) = 0.209
# - crystal system = orthorhombic
data_ZrAlOs2
_cell_length_a 2.793
_cell_length_b 2.793
_cell_length_c 9.179
_cell_angle_alpha 90.00
_cell_angle_beta 90.00
_cell_angle_gamma 114.69
_symmetry_space_group_name_H-M 'P 1'
_symmetry_Int_Tables_number 1
_symmetry_space_group_name_Hall 'P 1'
loop_
_atom_site_label
_atom_site_fract_x
_atom_site_fract_y
_atom_site_fract_z
Zr1 0.000 0.000 0.000
Al1 0.500 0.500 0.274
Os1 0.000 0.000 0.498
Os2 0.500 0.500 0.740

=====

5.
# Tb3PmRh4, optimized geometry, DFT PBE-GGA
# - E_form (eV per atom) = -0.799
# - crystal system = tetragonal
data_Tb3PmRh4
_cell_length_a 4.932
_cell_length_b 4.932
_cell_length_c 6.813
_cell_angle_alpha 90.00
_cell_angle_beta 90.00
_cell_angle_gamma 90.00
_symmetry_space_group_name_H-M 'P 1'
_symmetry_Int_Tables_number 1
_symmetry_space_group_name_Hall 'P 1'
loop_
_atom_site_label
_atom_site_fract_x
_atom_site_fract_y
_atom_site_fract_z
Tb1 0.000 0.000 0.000
Tb2 0.000 0.000 0.500
Tb3 0.500 0.500 0.000
Pm1 0.500 0.500 0.500
Rh1 0.000 0.500 0.247
Rh2 0.000 0.500 0.753
Rh3 0.500 0.000 0.247
Rh4 0.500 0.000 0.753

=====

6.
# Dy2Ga5Ni3, optimized geometry, DFT PBE-GGA
# - E_form (eV per atom) = -0.612
# - crystal system = orthorhombic
# - polymorph energy (0 for the lowest one) (eV/f.u.) = 0.00
data_Dy2Ga5Ni3
_cell_length_a 8.347
_cell_length_b 8.347
_cell_length_c 8.347
_cell_angle_alpha 107.85
_cell_angle_beta 84.95
_cell_angle_gamma 141.39
_symmetry_space_group_name_H-M 'P 1'
_symmetry_Int_Tables_number 1
_symmetry_space_group_name_Hall 'P 1'
loop_
_atom_site_label
_atom_site_fract_x
_atom_site_fract_y
_atom_site_fract_z
Dy1 0.144 0.223 0.366
Dy2 0.356 0.723 0.079
Dy3 0.644 0.277 0.921
Dy4 0.856 0.777 0.634
Ga1 0.041 0.750 0.291
Ga2 0.089 0.673 0.762
Ga3 0.250 0.250 0.000
Ga4 0.411 0.173 0.585
Ga5 0.459 0.750 0.709
Ga6 0.541 0.250 0.291
Ga7 0.589 0.827 0.415
Ga8 0.750 0.750 0.000
Ga9 0.911 0.327 0.238
Ga10 0.959 0.250 0.709
Ni1 0.145 0.908 0.053
Ni2 0.250 0.750 0.500
Ni3 0.355 0.408 0.763
Ni4 0.645 0.592 0.237
Ni5 0.750 0.250 0.500
Ni6 0.855 0.092 0.947

=====

7.
# SmDyY2Ho, optimized geometry, DFT PBE-GGA
# - E_form (eV per atom) = 0.397
# - crystal system = orthorhombic
data_SmDyY2Ho
_cell_length_a 7.102
_cell_length_b 7.102
_cell_length_c 7.218
_cell_angle_alpha 90.00
_cell_angle_beta 90.00
_cell_angle_gamma 107.36
_symmetry_space_group_name_H-M 'P 1'
_symmetry_Int_Tables_number 1
_symmetry_space_group_name_Hall 'P 1'
loop_
_atom_site_label
_atom_site_fract_x
_atom_site_fract_y
_atom_site_fract_z
Sm1 0.227 0.773 0.750
Sm2 0.773 0.227 0.250
Dy1 0.496 0.504 0.750
Dy2 0.504 0.496 0.250
Y1 0.191 0.191 0.000
Y2 0.191 0.191 0.500
Y3 0.809 0.809 0.000
Y4 0.809 0.809 0.500
Ho1 0.226 0.774 0.250
Ho2 0.774 0.226 0.750

=====

8.
# Tb12Er7Pb, optimized geometry, DFT PBE-GGA
# - E_form (eV per atom) = 0.154
# - crystal system = trigonal
data_Tb12Er7Pb
_cell_length_a 8.611
_cell_length_b 8.611
_cell_length_c 8.611
_cell_angle_alpha 88.72
_cell_angle_beta 88.72
_cell_angle_gamma 88.72
_symmetry_space_group_name_H-M 'P 1'
_symmetry_Int_Tables_number 1
_symmetry_space_group_name_Hall 'P 1'
loop_
_atom_site_label
_atom_site_fract_x
_atom_site_fract_y
_atom_site_fract_z
Tb1 0.000 0.356 0.883
Tb2 0.000 0.644 0.117
Tb3 0.117 0.000 0.644
Tb4 0.236 0.631 0.759
Tb5 0.241 0.764 0.369
Tb6 0.356 0.883 0.000
Tb7 0.369 0.241 0.764
Tb8 0.631 0.759 0.236
Tb9 0.644 0.117 0.000
Tb10 0.759 0.236 0.631
Tb11 0.764 0.369 0.241
Tb12 0.883 0.000 0.356
Er1 0.000 0.000 0.000
Er2 0.116 0.353 0.440
Er3 0.353 0.440 0.116
Er4 0.440 0.116 0.353
Er5 0.560 0.884 0.647
Er6 0.647 0.560 0.884
Er7 0.884 0.647 0.560
Pb1 0.500 0.500 0.500

=====

9.
# Nd7Sm5Y, optimized geometry, DFT PBE-GGA
# - E_form (eV per atom) = 0.222
# - crystal system = orthorhombic
data_Nd7Sm5Y
_cell_length_a 8.906
_cell_length_b 8.906
_cell_length_c 8.906
_cell_angle_alpha 135.01
_cell_angle_beta 100.41
_cell_angle_gamma 96.43
_symmetry_space_group_name_H-M 'P 1'
_symmetry_Int_Tables_number 1
_symmetry_space_group_name_Hall 'P 1'
loop_
_atom_site_label
_atom_site_fract_x
_atom_site_fract_y
_atom_site_fract_z
Nd1 0.000 0.000 0.000
Nd2 0.075 0.750 0.325
Nd3 0.307 0.307 0.000
Nd4 0.424 0.750 0.675
Nd5 0.574 0.246 0.328
Nd6 0.918 0.246 0.672
Nd7 0.987 0.487 0.500
Sm1 0.277 0.276 0.543
Sm2 0.277 0.734 0.001
Sm3 0.487 0.987 0.500
Sm4 0.733 0.276 0.999
Sm5 0.733 0.734 0.457
Y1 0.689 0.689 0.000

=====

10.
# Sm15DyY4, optimized geometry, DFT PBE-GGA
# - E_form (eV per atom) = 0.015
# - crystal system = tetragonal
data_Sm15DyY4
_cell_length_a 5.112
_cell_length_b 5.112
_cell_length_c 25.509
_cell_angle_alpha 90.00
_cell_angle_beta 90.00
_cell_angle_gamma 90.00
_symmetry_space_group_name_H-M 'P 1'
_symmetry_Int_Tables_number 1
_symmetry_space_group_name_Hall 'P 1'
loop_
_atom_site_label
_atom_site_fract_x
_atom_site_fract_y
_atom_site_fract_z
Sm1 0.000 0.000 0.000
Sm2 0.000 0.000 0.200
Sm3 0.000 0.000 0.400
Sm4 0.000 0.000 0.600
Sm5 0.000 0.000 0.800
Sm6 0.000 0.500 0.100
Sm7 0.000 0.500 0.300
Sm8 0.000 0.500 0.500
Sm9 0.000 0.500 0.700
Sm10 0.000 0.500 0.900
Sm11 0.500 0.000 0.100
Sm12 0.500 0.000 0.300
Sm13 0.500 0.000 0.500
Sm14 0.500 0.000 0.700
Sm15 0.500 0.000 0.900
Dy1 0.500 0.500 0.000
Y1 0.500 0.500 0.200
Y2 0.500 0.500 0.400
Y3 0.500 0.500 0.600
Y4 0.500 0.500 0.800

=====

11.
# CeDy2PaS4, optimized geometry, DFT PBE-GGA
# - crystal system = monoclinic
# - formation energy from raw total energies (meV/atom) = -1893
data_CeDy2PaS4
_cell_length_a 6.761
_cell_length_b 3.893
_cell_length_c 6.887
_cell_angle_alpha 90.00
_cell_angle_beta 108.94
_cell_angle_gamma 90.00
_symmetry_space_group_name_H-M 'P 1'
_symmetry_Int_Tables_number 1
_symmetry_space_group_name_Hall 'P 1'
loop_
_atom_site_label
_atom_site_fract_x
_atom_site_fract_y
_atom_site_fract_z
Ce1 0.000 0.000 0.000
Dy1 0.000 0.500 0.500
Dy2 0.500 0.000 0.500
Pa1 0.500 0.500 0.000
S1 0.251 0.000 0.744
S2 0.257 0.500 0.259
S3 0.743 0.500 0.741
S4 0.749 0.000 0.256

=====

Number 1: total moment 1.50 Bohr magnetons per cell, calculated density 4.31 g cm⁻³. Number 2: total moment 0.00 Bohr magnetons per cell, calculated density 4.79 g cm⁻³. Number 3: total moment 0.00 Bohr magnetons per cell, calculated density 5.36 g cm⁻³. Number 4: total moment 0.00 Bohr magnetons per cell, calculated density 12.73 g cm⁻³. Number 5: total moment 0.00 Bohr magnetons per cell, calculated density 10.35 g cm⁻³. Number 6: total moment 0.00 Bohr magnetons per cell, calculated density 8.45 g cm⁻³. Number 7: total moment 0.00 Bohr magnetons per cell, calculated density 6.27 g cm⁻³. Number 8: total moment 0.02 Bohr magnetons per cell, calculated density 8.55 g cm⁻³. Number 9: total moment 0.00 Bohr magnetons per cell, calculated density 6.66 g cm⁻³. Number 10: total moment 0.00 Bohr magnetons per cell, calculated density 6.91 g cm⁻³. Number 11: total moment 0.87 Bohr magnetons per cell, calculated density 7.98 g cm⁻³.